(1)
Density functional theory data (PBEsol) for crystalline Ca2Te at its relaxed geometry.

Results
Calculated volume ... 399 Å³ per cell
Total DFT energy (no corrections) ... -42.992 eV per cell
Formation energy from raw total energies ... -0.985 eV per atom

Geometry as CIF:
```
data_Ca2Te
_chemical_formula_sum 'Ca8 Te4'
_space_group_name_H-M_alt 'C 1 2/m 1'
_space_group_IT_number 12
_space_group_name_Hall '-C 2y'
_cell_length_a 13.716
_cell_length_b 4.151
_cell_length_c 7.173
_cell_angle_alpha 90.00
_cell_angle_beta 102.35
_cell_angle_gamma 90.00
loop_
_atom_site_label
_atom_site_type_symbol
_atom_site_fract_x
_atom_site_fract_y
_atom_site_fract_z
Ca1 Ca 0.000 0.000 0.000
Ca2 Ca 0.000 0.000 0.500
Ca3 Ca 0.217 0.500 0.270
Te1 Te 0.120 0.500 0.811
```

***

(2)
Density functional theory data (PBEsol) for crystalline ReB2 at its relaxed geometry.

Results
Calculated volume ... 54 Å³ per cell
ΔE_f ... -0.476 eV per atom
Total DFT energy (no corrections) ... -57.586 eV per cell

Geometry as CIF:
```
data_ReB2
_chemical_formula_sum 'Re2 B4'
_space_group_name_H-M_alt 'P 63/m m c'
_space_group_IT_number 194
_space_group_name_Hall '-P 6c 2c'
_cell_length_a 2.8937
_cell_length_b 2.8937
_cell_length_c 7.4690
_cell_angle_alpha 90.00
_cell_angle_beta 90.00
_cell_angle_gamma 120.00
loop_
_atom_site_label
_atom_site_type_symbol
_atom_site_fract_x
_atom_site_fract_y
_atom_site_fract_z
Re1 Re 0.3333 0.6667 0.2500
B1 B 0.3333 0.6667 0.5482
```

***

(3)
Density functional theory data (PBEsol) for crystalline CrCuMo2 at its relaxed geometry.

Results
Excess energy over the best structure of this formula in the dataset ... 0 meV per atom
Calculated volume ... 54 Å³ per cell
ΔE_f ... 0.292 eV per atom
Total DFT energy (no corrections) ... -36.945 eV per cell

Geometry as CIF:
```
data_CrCuMo2
_chemical_formula_sum 'Cr1 Cu1 Mo2'
_space_group_name_H-M_alt 'P 4 m m'
_space_group_IT_number 99
_space_group_name_Hall 'P 4 -2'
_cell_length_a 3.122
_cell_length_b 3.122
_cell_length_c 5.519
_cell_angle_alpha 90.00
_cell_angle_beta 90.00
_cell_angle_gamma 90.00
loop_
_atom_site_label
_atom_site_type_symbol
_atom_site_fract_x
_atom_site_fract_y
_atom_site_fract_z
Cr1 Cr 0.000 0.000 0.000
Cu1 Cu 0.500 0.500 0.231
Mo1 Mo 0.000 0.000 0.483
Mo2 Mo 0.500 0.500 0.752
```

***

(4)
Density functional theory data (PBEsol) for crystalline CuSi2Pt at its relaxed geometry.

Results
Excess energy over the best structure of this formula in the dataset ... 112 meV per atom
Calculated volume ... 108 Å³ per cell
Total DFT energy (no corrections) ... -46.284 eV per cell
Formation energy from raw total energies ... -0.088 eV per atom

Geometry as CIF:
```
data_CuSi2Pt
_chemical_formula_sum 'Cu2 Si4 Pt2'
_space_group_name_H-M_alt 'I 4/m m m'
_space_group_IT_number 139
_space_group_name_Hall '-I 4 2'
_cell_length_a 3.944
_cell_length_b 3.944
_cell_length_c 6.922
_cell_angle_alpha 90.00
_cell_angle_beta 90.00
_cell_angle_gamma 90.00
loop_
_atom_site_label
_atom_site_type_symbol
_atom_site_fract_x
_atom_site_fract_y
_atom_site_fract_z
Cu1 Cu 0.000 0.000 0.000
Si1 Si 0.000 0.500 0.250
Pt1 Pt 0.000 0.000 0.500
```

***

(5)
Density functional theory data (PBEsol) for crystalline AlCuSe at its relaxed geometry.

Results
Excess energy over the best structure of this formula in the dataset ... 188 meV per atom
Calculated volume ... 229 Å³ per cell
Total DFT energy (no corrections) ... -46.141 eV per cell
Formation energy from raw total energies ... 0.247 eV per atom

Geometry as CIF:
```
data_AlCuSe
_chemical_formula_sum 'Al4 Cu4 Se4'
_space_group_name_H-M_alt 'F -4 3 m'
_space_group_IT_number 216
_space_group_name_Hall 'F -4 2 3'
_cell_length_a 6.114
_cell_length_b 6.114
_cell_length_c 6.114
_cell_angle_alpha 90.00
_cell_angle_beta 90.00
_cell_angle_gamma 90.00
loop_
_atom_site_label
_atom_site_type_symbol
_atom_site_fract_x
_atom_site_fract_y
_atom_site_fract_z
Al1 Al 0.000 0.000 0.000
Cu1 Cu 0.000 0.000 0.500
Se1 Se 0.250 0.250 0.250
```

***

(6)
Density functional theory data (PBEsol) for crystalline LiZn3 at its relaxed geometry.

Results
Calculated volume ... 111 Å³ per cell
ΔE_f ... -0.089 eV per atom
Total DFT energy (no corrections) ... -14.140 eV per cell

Geometry as CIF:
```
data_LiZn3
_chemical_formula_sum 'Li2 Zn6'
_space_group_name_H-M_alt 'C m m m'
_space_group_IT_number 65
_space_group_name_Hall '-C 2 2'
_cell_length_a 5.427
_cell_length_b 7.424
_cell_length_c 2.755
_cell_angle_alpha 90.00
_cell_angle_beta 90.00
_cell_angle_gamma 90.00
loop_
_atom_site_label
_atom_site_type_symbol
_atom_site_fract_x
_atom_site_fract_y
_atom_site_fract_z
Li1 Li 0.000 0.000 0.000
Zn1 Zn 0.000 0.500 0.000
Zn2 Zn 0.250 0.250 0.500
```

***

(7)
Density functional theory data (PBEsol) for crystalline InIrOs at its relaxed geometry.

Results
Calculated volume ... 95 Å³ per cell
ΔE_f ... 0.192 eV per atom
Total DFT energy (no corrections) ... -48.895 eV per cell

Geometry as CIF:
```
data_InIrOs
_chemical_formula_sum 'In2 Ir2 Os2'
_space_group_name_H-M_alt 'I 4 m m'
_space_group_IT_number 107
_space_group_name_Hall 'I 4 -2'
_cell_length_a 2.822
_cell_length_b 2.822
_cell_length_c 11.910
_cell_angle_alpha 90.00
_cell_angle_beta 90.00
_cell_angle_gamma 90.00
loop_
_atom_site_label
_atom_site_type_symbol
_atom_site_fract_x
_atom_site_fract_y
_atom_site_fract_z
In1 In 0.000 0.000 0.000
Ir1 Ir 0.000 0.000 0.320
Os1 Os 0.000 0.000 0.677
```

***

(8)
Density functional theory data (PBEsol) for crystalline TbNdCo4 at its relaxed geometry.

Results
Calculated volume ... 355 Å³ per cell
ΔE_f ... -0.109 eV per atom
Total DFT energy (no corrections) ... -167.126 eV per cell

Geometry as CIF:
```
data_TbNdCo4
_chemical_formula_sum 'Tb4 Nd4 Co16'
_space_group_name_H-M_alt 'F -4 3 m'
_space_group_IT_number 216
_space_group_name_Hall 'F -4 2 3'
_cell_length_a 7.082
_cell_length_b 7.082
_cell_length_c 7.082
_cell_angle_alpha 90.00
_cell_angle_beta 90.00
_cell_angle_gamma 90.00
loop_
_atom_site_label
_atom_site_type_symbol
_atom_site_fract_x
_atom_site_fract_y
_atom_site_fract_z
Tb1 Tb 0.000 0.000 0.000
Nd1 Nd 0.250 0.250 0.250
Co1 Co 0.125 0.125 0.625
```

***

(9)
Density functional theory data (PBEsol) for crystalline Sr2TbBiO6 at its relaxed geometry.

Results
Calculated volume ... 618 Å³ per cell
Total DFT energy (no corrections) ... -272.585 eV per cell
Formation energy from raw total energies ... -2.367 eV per atom

Geometry as CIF:
```
data_Sr2TbBiO6
_chemical_formula_sum 'Sr8 Tb4 Bi4 O24'
_space_group_name_H-M_alt 'F m -3 m'
_space_group_IT_number 225
_space_group_name_Hall '-F 4 2 3'
_cell_length_a 8.519
_cell_length_b 8.519
_cell_length_c 8.519
_cell_angle_alpha 90.00
_cell_angle_beta 90.00
_cell_angle_gamma 90.00
loop_
_atom_site_label
_atom_site_type_symbol
_atom_site_fract_x
_atom_site_fract_y
_atom_site_fract_z
Sr1 Sr 0.250 0.250 0.250
Tb1 Tb 0.000 0.000 0.000
Bi1 Bi 0.000 0.000 0.500
O1 O 0.000 0.000 0.256
```

***

(10)
Density functional theory data (PBEsol) for crystalline Dy5AgS8 at its relaxed geometry.

Results
Calculated volume ... 548 Å³ per cell
Total DFT energy (no corrections) ... -179.810 eV per cell
Formation energy from raw total energies ... -1.902 eV per atom

Geometry as CIF:
```
data_Dy5AgS8
_chemical_formula_sum 'Dy10 Ag2 S16'
_space_group_name_H-M_alt 'I -4'
_space_group_IT_number 82
_space_group_name_Hall 'I -4'
_cell_length_a 8.158
_cell_length_b 8.158
_cell_length_c 8.233
_cell_angle_alpha 90.00
_cell_angle_beta 90.00
_cell_angle_gamma 90.00
loop_
_atom_site_label
_atom_site_type_symbol
_atom_site_fract_x
_atom_site_fract_y
_atom_site_fract_z
Dy1 Dy 0.000 0.000 0.000
Dy2 Dy 0.132 0.751 0.618
Ag1 Ag 0.000 0.500 0.250
S1 S 0.070 0.822 0.298
S2 S 0.076 0.683 0.934
```

***

(11)
Density functional theory data (PBEsol) for crystalline Ni3SbMo at its relaxed geometry.

Results
Calculated volume ... 90 Å³ per cell
Total DFT energy (no corrections) ... -27.799 eV per cell
Formation energy from raw total energies ... 1.400 eV per atom

Geometry as CIF:
```
data_Ni3SbMo
_chemical_formula_sum 'Ni3 Sb1 Mo1'
_space_group_name_H-M_alt 'P m -3 m'
_space_group_IT_number 221
_space_group_name_Hall '-P 4 2 3'
_cell_length_a 4.481
_cell_length_b 4.481
_cell_length_c 4.481
_cell_angle_alpha 90.00
_cell_angle_beta 90.00
_cell_angle_gamma 90.00
loop_
_atom_site_label
_atom_site_type_symbol
_atom_site_fract_x
_atom_site_fract_y
_atom_site_fract_z
Ni1 Ni 0.000 0.000 0.500
Sb1 Sb 0.000 0.000 0.000
Mo1 Mo 0.500 0.500 0.500
```

***

(12)
Density functional theory data (PBEsol) for crystalline SrI3O at its relaxed geometry.

Results
Calculated volume ... 139 Å³ per cell
Total DFT energy (no corrections) ... -15.521 eV per cell
Formation energy from raw total energies ... -0.626 eV per atom

Geometry as CIF:
```
data_SrI3O
_chemical_formula_sum 'Sr1 I3 O1'
_space_group_name_H-M_alt 'P m -3 m'
_space_group_IT_number 221
_space_group_name_Hall '-P 4 2 3'
_cell_length_a 5.178
_cell_length_b 5.178
_cell_length_c 5.178
_cell_angle_alpha 90.00
_cell_angle_beta 90.00
_cell_angle_gamma 90.00
loop_
_atom_site_label
_atom_site_type_symbol
_atom_site_fract_x
_atom_site_fract_y
_atom_site_fract_z
Sr1 Sr 0.000 0.000 0.000
I1 I 0.000 0.500 0.500
O1 O 0.500 0.500 0.500
```

***

calculated volume of number 2 (ReB2)?
54 Å³ per cell